[1]
BeCoSi2Cl | PBE-GGA | relaxed

Cell: 4.2988 4.3560 4.2988 Å, 90.00 90.00 90.00°
Last column: nearest neighbours and their distance in Å.
Fractional coordinates of all 5 atoms:
1 Si 0.5000 0.0000 0.0000  2 Co 2.15
2 Si 0.0000 0.0000 0.5000  2 Co 2.15
3 Be 0.0000 0.5000 0.0000  2 Co 2.18
4 Co 0.0000 0.0000 0.0000  4 Si 2.15, 2 Be 2.18
5 Cl 0.5000 0.5000 0.5000  4 Be 3.04, 8 Si 3.06

Calculated values
Density of states at the Fermi level (states/eV/atom): 0.060
Total DFT energy (no corrections) (eV per atom): -4.6333
Energy relative to the elements, uncorrected (kJ per mole of atoms): 7
Space-group type: No. 123

=====

[2]
TaBeCo2Cl | PBE-GGA | relaxed

Cell: 4.5662 4.5662 4.8222 Å, 90.00 90.00 90.00°
Last column: nearest neighbours and their distance in Å.
Fractional coordinates of all 5 atoms:
1 Co 0.0000 0.5000 0.0000  2 Ta 2.28
2 Co 0.5000 0.0000 0.0000  2 Ta 2.28
3 Cl 0.5000 0.5000 0.5000  4 Be 3.23, 8 Co 3.32
4 Ta 0.0000 0.0000 0.0000  4 Co 2.28, 2 Be 2.41
5 Be 0.0000 0.0000 0.5000  2 Ta 2.41

Calculated values
Density of states at the Fermi level (states/eV/atom): 2.456
Total DFT energy (no corrections) (eV per atom): -4.7011
Energy relative to the elements, uncorrected (kJ per mole of atoms): 157
Space-group type: No. 123

=====

[3]
BeCoW2Cl | PBE-GGA | relaxed

Cell: 4.3987 3.9312 4.3987 Å, 90.00 90.00 90.00°
Last column: nearest neighbours and their distance in Å.
Fractional coordinates of all 5 atoms:
1 Be 0.5000 0.5000 0.5000  8 W 2.95, 4 Co 3.11
2 Cl 0.0000 0.0000 0.0000  2 Co 1.97, 4 W 2.20
3 W 0.5000 0.0000 0.0000  2 Cl 2.20
4 W 0.0000 0.0000 0.5000  2 Cl 2.20
5 Co 0.0000 0.5000 0.0000  2 Cl 1.97

Calculated values
Density of states at the Fermi level (states/eV/atom): 0.375
Total DFT energy (no corrections) (eV per atom): -6.2534
Energy relative to the elements, uncorrected (kJ per mole of atoms): 141
Space-group type: No. 123

=====

[4]
BeCrCl2 | PBE-GGA | relaxed

Cell: 3.3138 3.3138 6.3605 Å, 90.00 90.00 90.00°
Last column: nearest neighbours and their distance in Å.
Fractional coordinates of all 4 atoms:
1 Be 0.5000 0.5000 0.7500  8 Cl 2.85, 2 Cr 3.18
2 Cl 0.0000 0.0000 0.4960  4 Cr 2.82, 4 Be 2.85, 1 Cl 3.13
3 Cl 0.0000 0.0000 0.0040  4 Cr 2.82, 4 Be 2.85, 1 Cl 3.13
4 Cr 0.5000 0.5000 0.2500  8 Cl 2.82

Calculated values
Density of states at the Fermi level (states/eV/atom): 0.457
Total DFT energy (no corrections) (eV per atom): -3.8770
Energy relative to the elements, uncorrected (kJ per mole of atoms): 37
Space-group type: No. 123
E above lowest polymorph (eV per atom): 0.713

=====

[5]
BeCr2Cl | PBE-GGA | relaxed

Cell: 2.9401 2.9401 5.9277 Å, 90.00 90.00 90.00°
Last column: nearest neighbours and their distance in Å.
Fractional coordinates of all 4 atoms:
1 Be 0.5000 0.5000 0.2500  8 Cr 2.33
2 Cr 0.0000 0.0000 0.0736  1 Cr 2.09, 4 Be 2.33
3 Cr 0.0000 0.0000 0.4264  1 Cr 2.09, 4 Be 2.33
4 Cl 0.5000 0.5000 0.7500  8 Cr 2.83, 4 Cl 2.94, 2 Be 2.96

Calculated values
Density of states at the Fermi level (states/eV/atom): 1.092
Total DFT energy (no corrections) (eV per atom): -5.7612
Energy relative to the elements, uncorrected (kJ per mole of atoms): 43
Space-group type: No. 123
E above lowest polymorph (eV per atom): 0.162

=====

[6]
BeCrCl2 | PBE-GGA | relaxed

Cell: 3.5195 3.5195 8.7062 Å, 90.00 90.00 126.89°
Last column: nearest neighbours and their distance in Å.
Fractional coordinates of all 4 atoms:
1 Cl 0.0000 0.0000 0.9023  2 Be 2.04
2 Cl 0.5000 0.5000 0.3246  2 Cr 2.31
3 Be 0.5000 0.5000 0.7540  2 Cl 2.04
4 Cr 0.0000 0.0000 0.5191  2 Cl 2.31, 2 Be 2.58

Calculated values
Density of states at the Fermi level (states/eV/atom): 0.138
Total DFT energy (no corrections) (eV per atom): -4.5902
Energy relative to the elements, uncorrected (kJ per mole of atoms): -32
Space-group type: No. 35
E above lowest polymorph (eV per atom): 0.000

=====

[7]
BeCr2Cl | PBE-GGA | relaxed

Cell: 5.6228 5.6228 5.6228 Å, 143.64 143.64 52.37°
Last column: nearest neighbours and their distance in Å.
Fractional coordinates of all 4 atoms:
1 Be 0.5000 0.5000 0.0000  4 Cr 2.48
2 Cl 0.7500 0.2500 0.5000  4 Cr 2.48
3 Cr 0.2500 0.7500 0.5000  4 Cl 2.48
4 Cr 0.0000 0.0000 0.0000  4 Be 2.48

Calculated values
Density of states at the Fermi level (states/eV/atom): 0.929
Total DFT energy (no corrections) (eV per atom): -5.4379
Energy relative to the elements, uncorrected (kJ per mole of atoms): 74
Space-group type: No. 119
E above lowest polymorph (eV per atom): 0.485

=====

[8]
BeCrCl2 | PBE-GGA | relaxed

Cell: 6.1743 6.1743 6.1743 Å, 150.89 98.40 88.86°
Last column: nearest neighbours and their distance in Å.
Fractional coordinates of all 4 atoms:
1 Cr 0.5194 0.5194 0.0000  2 Cl 2.31, 2 Be 2.59
2 Cl 0.9017 0.9017 0.0000  2 Be 2.02
3 Cl 0.3248 0.8248 0.5000  2 Cr 2.31
4 Be 0.7542 0.2542 0.5000  2 Cl 2.02

Calculated values
Total DFT energy (no corrections) (eV per atom): -4.5565
Energy relative to the elements, uncorrected (kJ per mole of atoms): -29
Space-group type: No. 44
E above lowest polymorph (eV per atom): 0.034

=====

[9]
BeCr2Cl | PBE-GGA | relaxed

Cell: 2.8330 2.8330 8.0783 Å, 90.00 90.00 117.64°
Last column: nearest neighbours and their distance in Å.
Fractional coordinates of all 4 atoms:
1 Cr 0.5000 0.5000 0.2614  2 Cr 2.16
2 Cr 0.0000 0.0000 0.0652  2 Cr 2.16
3 Cl 0.5000 0.5000 0.6730  2 Be 2.02
4 Be 0.0000 0.0000 0.5004  2 Cl 2.02

Calculated values
Density of states at the Fermi level (states/eV/atom): 0.371
Total DFT energy (no corrections) (eV per atom): -5.8725
Energy relative to the elements, uncorrected (kJ per mole of atoms): 32
Space-group type: No. 35
E above lowest polymorph (eV per atom): 0.051

=====

[10]
BeCrCl2 | PBE-GGA | relaxed

Cell: 5.0624 5.0624 3.5995 Å, 66.80 66.80 98.20°
Last column: nearest neighbours and their distance in Å.
Fractional coordinates of all 4 atoms:
1 Cr 0.5000 0.0000 0.5000  4 Cl 2.46
2 Cl 0.0000 0.0000 0.0000  2 Be 2.46, 2 Cr 2.46
3 Cl 0.5000 0.5000 0.0000  2 Cr 2.46, 2 Be 2.46
4 Be 0.0000 0.5000 0.5000  4 Cl 2.46

Calculated values
Density of states at the Fermi level (states/eV/atom): 0.391
Total DFT energy (no corrections) (eV per atom): -4.0601
Energy relative to the elements, uncorrected (kJ per mole of atoms): 19
Space-group type: No. 12
E above lowest polymorph (eV per atom): 0.530

=====

[11]
BeCrCl | PBE-GGA | relaxed

Cell: 6.4850 6.4850 6.4850 Å, 155.04 155.04 35.59°
Last column: nearest neighbours and their distance in Å.
Fractional coordinates of all 3 atoms:
1 Cl 0.2822 0.2822 0.0000  4 Cr 2.46
2 Be 0.0535 0.0535 0.0000  4 Cr 2.41
3 Cr 0.6642 0.6642 0.0000  4 Be 2.41, 4 Cl 2.46

Calculated values
Density of states at the Fermi level (states/eV/atom): 0.663
Total DFT energy (no corrections) (eV per atom): -4.6951
Energy relative to the elements, uncorrected (kJ per mole of atoms): 36
Space-group type: No. 107
E above lowest polymorph (eV per atom): 0.079

=====

[12]
BeCr2Cl | PBE-GGA | relaxed

Cell: 3.8968 3.8968 5.8081 Å, 99.86 99.86 54.19°
Last column: nearest neighbours and their distance in Å.
Fractional coordinates of all 4 atoms:
1 Be 0.4313 0.4313 0.7436  6 Cr 2.28-2.36
2 Cr 0.1322 0.1322 0.8656  3 Be 2.28-2.32, 1 Cl 2.38, 2 Cr 2.50
3 Cr 0.7305 0.7305 0.6074  3 Be 2.30-2.36, 2 Cr 2.50, 2 Cl 2.57
4 Cl 0.2060 0.2060 0.2834  3 Cr 2.38-2.57

Calculated values
Density of states at the Fermi level (states/eV/atom): 0.443
Total DFT energy (no corrections) (eV per atom): -5.9230
Energy relative to the elements, uncorrected (kJ per mole of atoms): 27
Space-group type: No. 8
E above lowest polymorph (eV per atom): 0.000

=====

[13]
Be3CrCl | PBE-GGA | relaxed

Cell: 4.6046 4.6046 4.6046 Å, 90.00 90.00 90.00°
Last column: nearest neighbours and their distance in Å.
Fractional coordinates of all 5 atoms:
1 Be 0.0000 0.0000 0.5000  2 Cr 2.30
2 Be 0.5000 0.0000 0.0000  2 Cr 2.30
3 Be 0.0000 0.5000 0.0000  2 Cr 2.30
4 Cr 0.0000 0.0000 0.0000  6 Be 2.30
5 Cl 0.5000 0.5000 0.5000  12 Be 3.26

Calculated values
Density of states at the Fermi level (states/eV/atom): 0.656
Total DFT energy (no corrections) (eV per atom): -3.0898
Energy relative to the elements, uncorrected (kJ per mole of atoms): 139
Space-group type: No. 221
E above lowest polymorph (eV per atom): 0.008

=====

[14]
BeCrCl4 | PBE-GGA | relaxed

Cell: 5.8559 5.8559 5.8559 Å, 60.00 60.00 60.00°
Last column: nearest neighbours and their distance in Å.
Fractional coordinates of all 6 atoms:
1 Cl 0.3749 0.3749 0.8753  6 Cl 2.93
2 Cl 0.3749 0.3749 0.3749  6 Cl 2.93
3 Cl 0.3749 0.8753 0.3749  6 Cl 2.93
4 Cl 0.8753 0.3749 0.3749  6 Cl 2.93
5 Cr 0.7500 0.7500 0.7500  12 Cl 3.43, 4 Be 3.59
6 Be 0.0000 0.0000 0.0000  12 Cl 3.43, 4 Cr 3.59

Calculated values
Density of states at the Fermi level (states/eV/atom): 1.176
Total DFT energy (no corrections) (eV per atom): -2.4882
Energy relative to the elements, uncorrected (kJ per mole of atoms): 93
Space-group type: No. 216

=====

[15]
BeCr2Cl | PBE-GGA | relaxed

Cell: 2.9716 2.9716 6.2385 Å, 90.00 90.00 90.00°
Last column: nearest neighbours and their distance in Å.
Fractional coordinates of all 4 atoms:
1 Cr 0.0000 0.0000 0.0763  1 Be 2.38, 4 Cr 2.46
2 Cr 0.5000 0.5000 0.2803  4 Be 2.37, 4 Cr 2.46, 1 Cl 2.53
3 Cl 0.5000 0.5000 0.6860  1 Cr 2.53, 4 Be 2.54
4 Be 0.0000 0.0000 0.4575  5 Cr 2.37-2.38, 4 Cl 2.54

Calculated values
Density of states at the Fermi level (states/eV/atom): 0.390
Total DFT energy (no corrections) (eV per atom): -5.9091
Energy relative to the elements, uncorrected (kJ per mole of atoms): 29
Space-group type: No. 99
E above lowest polymorph (eV per atom): 0.014

=====

[16]
BeCrCl | PBE-GGA | relaxed

Cell: 4.2700 4.2700 4.2700 Å, 60.00 60.00 60.00°
Last column: nearest neighbours and their distance in Å.
Fractional coordinates of all 3 atoms:
1 Be 0.0000 0.0000 0.0000  4 Cr 2.61
2 Cl 0.5000 0.5000 0.5000  4 Cr 2.61
3 Cr 0.7500 0.7500 0.7500  4 Be 2.61, 4 Cl 2.61

Calculated values
Density of states at the Fermi level (states/eV/atom): 0.638
Total DFT energy (no corrections) (eV per atom): -4.2954
Energy relative to the elements, uncorrected (kJ per mole of atoms): 74
Space-group type: No. 216
E above lowest polymorph (eV per atom): 0.479

=====

[17]
BeCrCl2 | PBE-GGA | relaxed

Cell: 6.7976 6.7976 6.7976 Å, 152.61 146.24 44.01°
Last column: nearest neighbours and their distance in Å.
Fractional coordinates of all 4 atoms:
1 Cl 0.8731 0.8731 0.0000  2 Be 2.24
2 Cl 0.6269 0.6269 0.0000  2 Be 2.24
3 Be 0.7500 0.2500 0.5000  4 Cl 2.24
4 Cr 0.2500 0.7500 0.5000  4 Cl 2.51, 4 Be 2.55

Calculated values
Density of states at the Fermi level (states/eV/atom): 0.534
Total DFT energy (no corrections) (eV per atom): -4.4731
Energy relative to the elements, uncorrected (kJ per mole of atoms): -20
Space-group type: No. 71
E above lowest polymorph (eV per atom): 0.117

=====

[18]
BeCr2Cl | PBE-GGA | relaxed

Cell: 7.6407 7.6407 7.6407 Å, 20.42 20.42 20.42°
Last column: nearest neighbours and their distance in Å.
Fractional coordinates of all 4 atoms:
1 Cr 0.0003 0.0003 0.0003  3 Cl 2.43, 3 Be 2.44, 6 Cr 2.71
2 Cr 0.4997 0.4997 0.4997  3 Cl 2.43, 3 Be 2.44, 6 Cr 2.71
3 Be 0.2500 0.2500 0.2500  6 Cr 2.44, 6 Be 2.71
4 Cl 0.7500 0.7500 0.7500  6 Cr 2.43, 6 Cl 2.71

Calculated values
Density of states at the Fermi level (states/eV/atom): 1.078
Total DFT energy (no corrections) (eV per atom): -5.6497
Energy relative to the elements, uncorrected (kJ per mole of atoms): 54
Space-group type: No. 166
E above lowest polymorph (eV per atom): 0.273

=====

[19]
BeCrCl2 | PBE-GGA | relaxed

Cell: 9.4663 9.4663 9.4663 Å, 20.80 20.80 20.80°
Last column: nearest neighbours and their distance in Å.
Fractional coordinates of all 4 atoms:
1 Cl 0.5295 0.5295 0.5295  3 Cr 2.48
2 Cl 0.9705 0.9705 0.9705  3 Cr 2.48
3 Cr 0.2500 0.2500 0.2500  6 Cl 2.48
4 Be 0.7500 0.7500 0.7500  6 Be 3.42, 6 Cl 3.70

Calculated values
Density of states at the Fermi level (states/eV/atom): 1.154
Total DFT energy (no corrections) (eV per atom): -4.1147
Energy relative to the elements, uncorrected (kJ per mole of atoms): 14
Space-group type: No. 166
E above lowest polymorph (eV per atom): 0.476

=====

[20]
Be3CrCl | PBE-GGA | relaxed

Cell: 3.9924 3.9924 3.9924 Å, 90.00 90.00 90.00°
Last column: nearest neighbours and their distance in Å.
Fractional coordinates of all 5 atoms:
1 Be 0.0000 0.5000 0.0000  2 Cl 2.00
2 Be 0.0000 0.0000 0.5000  2 Cl 2.00
3 Be 0.5000 0.0000 0.0000  2 Cl 2.00
4 Cr 0.5000 0.5000 0.5000  12 Be 2.82
5 Cl 0.0000 0.0000 0.0000  6 Be 2.00

Calculated values
Density of states at the Fermi level (states/eV/atom): 1.906
Total DFT energy (no corrections) (eV per atom): -3.0979
Energy relative to the elements, uncorrected (kJ per mole of atoms): 138
Space-group type: No. 221
E above lowest polymorph (eV per atom): 0.000